# 1
First-principles (GGA-PBE) data for a relaxed structure of Er4GaSe2, as listed in the Alexandria database.

POSCAR file:
```
Er4GaSe2
1.0
3.7987 0.0000 -0.9917
-0.7362 6.2074 -2.8201
-0.0028 -0.3147 7.7608
Er Ga Se
4 1 2
Direct
0.1144 0.4632 0.2288 Er
0.3775 0.0618 0.7551 Er
0.6225 0.9382 0.2449 Er
0.8856 0.5368 0.7712 Er
0.0000 0.0000 0.0000 Ga
0.7507 0.7396 0.5015 Se
0.2493 0.2604 0.4985 Se
```

The uncorrected formation energy comes out at -1.06 eV per atom. Its calculated total energy is -35.7 eV per formula unit. As for the calculated volume: 25.626 Å³ per atom.

---

# 2
First-principles (GGA-PBE) data for a relaxed structure of LaY2Tm7, as listed in the Alexandria database.

POSCAR file:
```
LaY2Tm7
1.0
5.2652 -1.6795 0.7810
-2.9909 7.1484 -4.4178
1.3139 -0.5946 9.9046
Tm Y La
7 2 1
Direct
0.2939 0.8935 0.1990 Tm
0.1478 0.9359 0.5769 Tm
0.5000 0.5000 0.0000 Tm
0.8522 0.0641 0.4231 Tm
0.1970 0.5980 0.8017 Tm
0.7061 0.1065 0.8010 Tm
0.8030 0.4020 0.1983 Tm
0.6394 0.4259 0.5728 Y
0.3606 0.5741 0.4272 Y
0.0000 0.0000 0.0000 La
```

Its calculated formation energy is 47 meV/atom. Its calculated total energy is -48.7 eV per formula unit. As for the energy relative to the lowest polymorph listed for this composition: 0 meV per atom. As for the calculated volume: 31.301 Å³ per atom.